No. 1
The following is a GGA-PBE calculation of a relaxed structure of PrTiCl, from Alexandria.

```
data_PrTiCl
_space_group_name_H-M_alt 'C 1 2/m 1'
_space_group_IT_number 12
_cell_length_a 9.747
_cell_length_b 3.513
_cell_length_c 9.918
_cell_angle_alpha 90.00
_cell_angle_beta 117.39
_cell_angle_gamma 90.00
loop_
_space_group_symop_operation_xyz
'x,y,z'
'-x,-y,-z'
'-x,y,-z'
'x,-y,z'
'x+1/2,y+1/2,z'
'-x+1/2,-y+1/2,-z'
'-x+1/2,y+1/2,-z'
'x+1/2,-y+1/2,z'
loop_
_atom_site_label
_atom_site_fract_x
_atom_site_fract_y
_atom_site_fract_z
Pr1 0.209 0.000 0.297
Ti1 0.122 0.500 0.977
Cl1 0.105 0.000 0.786
```

Calculated values
Formation energy without anion corrections (kJ/mol of atoms): -51
Raw total energy (eV/atom): -5.37
Volume (Å³ per atom): 25.13

No. 2
The following is a GGA-PBE calculation of a relaxed structure of PrTl3Cl6, from Alexandria.

```
data_PrTl3Cl6
_space_group_name_H-M_alt 'P 1 21/c 1'
_space_group_IT_number 14
_cell_length_a 7.624
_cell_length_b 8.307
_cell_length_c 13.145
_cell_angle_alpha 90.00
_cell_angle_beta 122.73
_cell_angle_gamma 90.00
loop_
_space_group_symop_operation_xyz
'x,y,z'
'-x,-y,-z'
'-x,y+1/2,-z+1/2'
'x,-y+1/2,z+1/2'
loop_
_atom_site_label
_atom_site_fract_x
_atom_site_fract_y
_atom_site_fract_z
Pr1 0.000 0.000 0.000
Tl1 0.291 0.067 0.767
Tl2 0.500 0.000 0.500
Cl1 0.098 0.067 0.232
Cl2 0.247 0.725 0.082
Cl3 0.348 0.169 0.045
```

Calculated values
Formation energy without anion corrections (kJ/mol of atoms): -149
Raw total energy (eV/atom): -3.84
Volume (Å³ per atom): 35.02